(1)
Below is crystalline NbVCu at its relaxed geometry, with properties calculated at the PBE level.

Unit cell a=2.6254 b=2.6254 c=14.2452 alpha=90.00 beta=90.00 gamma=90.00
Space group I4mm (No. 107)
Unique sites:
1 Nb 0.0000 0.0000 0.0000 [2 per cell]
2 V 0.0000 0.0000 0.8217 [2 per cell]
3 Cu 0.0000 0.0000 0.6478 [2 per cell]

(2)
Below is crystalline NbV2Cu at its relaxed geometry, with properties calculated at the PBE level.

Unit cell a=6.1311 b=6.1311 c=6.1311 alpha=90.00 beta=90.00 gamma=90.00
Space group Fm-3m (No. 225)
Unique sites:
1 Nb 0.0000 0.0000 0.0000 [4 per cell]
2 V 0.2500 0.2500 0.2500 [8 per cell]
3 Cu 0.0000 0.0000 0.5000 [4 per cell]

(3)
Below is crystalline NbCu2W at its relaxed geometry, with properties calculated at the PBE level.

Unit cell a=6.1684 b=6.1684 c=6.1684 alpha=90.00 beta=90.00 gamma=90.00
Space group Fm-3m (No. 225)
Unique sites:
1 Nb 0.0000 0.0000 0.0000 [4 per cell]
2 Cu 0.2500 0.2500 0.2500 [8 per cell]
3 W 0.0000 0.0000 0.5000 [4 per cell]

Number 1: offset from the most stable computed form 702 meV/atom, formation enthalpy at 0 K 0.74 eV/atom, VASP energy -7.017 eV/atom. Number 2: offset from the most stable computed form 50 meV/atom, formation enthalpy at 0 K 0.18 eV/atom, VASP energy -7.920 eV/atom. Number 3: offset from the most stable computed form 0 meV/atom, formation enthalpy at 0 K 0.41 eV/atom, VASP energy -7.393 eV/atom.